<a>
A plane-wave DFT calculation with PBE was carried out for a geometry-optimized YTm2Th3 structure.

```
data_YTm2Th3
_chemical_formula_sum 'Y4 Tm8 Th12'
_space_group_name_H-M_alt 'C 1 2/m 1'
_space_group_IT_number 12
_space_group_name_Hall '-C 2y'
_cell_length_a 15.427
_cell_length_b 6.001
_cell_length_c 9.306
_cell_angle_alpha 90.00
_cell_angle_beta 116.92
_cell_angle_gamma 90.00
loop_
_atom_site_label
_atom_site_type_symbol
_atom_site_fract_x
_atom_site_fract_y
_atom_site_fract_z
_atom_site_occupancy
Y1 Y 0.128 0.000 0.125 1
Tm1 Tm 0.038 0.500 0.209 1
Tm2 Tm 0.208 0.000 0.547 1
Th1 Th 0.045 0.000 0.702 1
Th2 Th 0.120 0.500 0.626 1
Th3 Th 0.212 0.500 0.036 1
```

<b>
A plane-wave DFT calculation with PBE was carried out for a geometry-optimized YTm2Th3 structure.

```
data_YTm2Th3
_chemical_formula_sum 'Y4 Tm8 Th12'
_space_group_name_H-M_alt 'C 1 2/c 1'
_space_group_IT_number 15
_space_group_name_Hall '-C 2yc'
_cell_length_a 17.414
_cell_length_b 7.057
_cell_length_c 6.175
_cell_angle_alpha 90.00
_cell_angle_beta 90.26
_cell_angle_gamma 90.00
loop_
_atom_site_label
_atom_site_type_symbol
_atom_site_fract_x
_atom_site_fract_y
_atom_site_fract_z
_atom_site_occupancy
Y1 Y 0.000 0.129 0.250 1
Tm1 Tm 0.168 0.126 0.917 1
Th1 Th 0.000 0.379 0.750 1
Th2 Th 0.167 0.379 0.416 1
```

It is <b> that is most stable; the runner-up trails by 8.4 kJ/mol of atoms.

<a>
A plane-wave DFT calculation with PBE was carried out for a geometry-optimized Y2Tm4Th structure.

```
data_Y2Tm4Th
_chemical_formula_sum 'Y8 Tm16 Th4'
_space_group_name_H-M_alt 'I m m a'
_space_group_IT_number 74
_space_group_name_Hall '-I 2b 2'
_cell_length_a 6.585
_cell_length_b 11.310
_cell_length_c 12.183
_cell_angle_alpha 90.00
_cell_angle_beta 90.00
_cell_angle_gamma 90.00
loop_
_atom_site_label
_atom_site_type_symbol
_atom_site_fract_x
_atom_site_fract_y
_atom_site_fract_z
_atom_site_occupancy
Y1 Y 0.000 0.000 0.000 1
Y2 Y 0.000 0.250 0.223 1
Tm1 Tm 0.000 0.006 0.641 1
Tm2 Tm 0.227 0.250 0.488 1
Th1 Th 0.250 0.250 0.750 1
```

<b>
A plane-wave DFT calculation with PBE was carried out for a geometry-optimized Y2Tm4Th structure.

```
data_Y2Tm4Th
_chemical_formula_sum 'Y4 Tm8 Th2'
_space_group_name_H-M_alt 'C 1 m 1'
_space_group_IT_number 8
_space_group_name_Hall 'C -2y'
_cell_length_a 6.188
_cell_length_b 3.573
_cell_length_c 19.909
_cell_angle_alpha 90.00
_cell_angle_beta 95.97
_cell_angle_gamma 90.00
loop_
_atom_site_label
_atom_site_type_symbol
_atom_site_fract_x
_atom_site_fract_y
_atom_site_fract_z
_atom_site_occupancy
Y1 Y 0.000 0.000 0.000 1
Y2 Y 0.095 0.000 0.285 1
Tm1 Tm 0.190 0.000 0.567 1
Tm2 Tm 0.214 0.500 0.143 1
Tm3 Tm 0.286 0.000 0.857 1
Tm4 Tm 0.310 0.500 0.428 1
Th1 Th 0.405 0.500 0.712 1
```

It is <b> that is most stable; the runner-up trails by 28.5 kJ/mol of atoms.

<a>
A plane-wave DFT calculation with PBE was carried out for a geometry-optimized YTm3Th structure.

```
data_YTm3Th
_chemical_formula_sum 'Y8 Tm24 Th8'
_space_group_name_H-M_alt 'C m c e'
_space_group_IT_number 64
_space_group_name_Hall '-C 2ac 2'
_cell_length_a 13.233
_cell_length_b 12.965
_cell_length_c 7.404
_cell_angle_alpha 90.00
_cell_angle_beta 90.00
_cell_angle_gamma 90.00
loop_
_atom_site_label
_atom_site_type_symbol
_atom_site_fract_x
_atom_site_fract_y
_atom_site_fract_z
_atom_site_occupancy
Y1 Y 0.250 0.024 0.250 1
Tm1 Tm 0.000 0.099 0.141 1
Tm2 Tm 0.151 0.228 0.880 1
Th1 Th 0.000 0.108 0.589 1
```

<b>
A plane-wave DFT calculation with PBE was carried out for a geometry-optimized YTm3Th structure.

```
data_YTm3Th
_chemical_formula_sum 'Y4 Tm12 Th4'
_space_group_name_H-M_alt 'C 1 2/m 1'
_space_group_IT_number 12
_space_group_name_Hall '-C 2y'
_cell_length_a 5.274
_cell_length_b 11.960
_cell_length_c 10.856
_cell_angle_alpha 90.00
_cell_angle_beta 90.31
_cell_angle_gamma 90.00
loop_
_atom_site_label
_atom_site_type_symbol
_atom_site_fract_x
_atom_site_fract_y
_atom_site_fract_z
_atom_site_occupancy
Y1 Y 0.000 0.159 0.000 1
Tm1 Tm 0.003 0.337 0.729 1
Tm2 Tm 0.004 0.000 0.761 1
Th1 Th 0.000 0.143 0.500 1
```

It is <a> that is most stable; the runner-up trails by 24.8 kJ/mol of atoms.

<a>
A plane-wave DFT calculation with PBE was carried out for a geometry-optimized Y5Tm4Th2 structure.

```
data_Y5Tm4Th2
_chemical_formula_sum 'Y10 Tm8 Th4'
_space_group_name_H-M_alt 'C 1 2/m 1'
_space_group_IT_number 12
_space_group_name_Hall '-C 2y'
_cell_length_a 17.447
_cell_length_b 3.494
_cell_length_c 11.506
_cell_angle_alpha 90.00
_cell_angle_beta 94.14
_cell_angle_gamma 90.00
loop_
_atom_site_label
_atom_site_type_symbol
_atom_site_fract_x
_atom_site_fract_y
_atom_site_fract_z
_atom_site_occupancy
Y1 Y 0.000 0.000 0.000 1
Y2 Y 0.097 0.500 0.534 1
Y3 Y 0.177 0.500 0.070 1
Tm1 Tm 0.033 0.500 0.256 1
Tm2 Tm 0.141 0.000 0.795 1
Th1 Th 0.218 0.000 0.358 1
```

<b>
A plane-wave DFT calculation with PBE was carried out for a geometry-optimized Y5Tm4Th2 structure.

```
data_Y5Tm4Th2
_chemical_formula_sum 'Y10 Tm8 Th4'
_space_group_name_H-M_alt 'I m m m'
_space_group_IT_number 71
_space_group_name_Hall '-I 2 2'
_cell_length_a 3.418
_cell_length_b 9.197
_cell_length_c 24.402
_cell_angle_alpha 90.00
_cell_angle_beta 90.00
_cell_angle_gamma 90.00
loop_
_atom_site_label
_atom_site_type_symbol
_atom_site_fract_x
_atom_site_fract_y
_atom_site_fract_z
_atom_site_occupancy
Y1 Y 0.000 0.000 0.000 1
Y2 Y 0.000 0.179 0.342 1
Tm1 Tm 0.000 0.184 0.500 1
Tm2 Tm 0.000 0.500 0.260 1
Th1 Th 0.000 0.500 0.392 1
```

It is <a> that is most stable; the runner-up trails by 44.2 kJ/mol of atoms.

<a>
A plane-wave DFT calculation with PBE was carried out for a geometry-optimized Y6Tm3Th structure.

```
data_Y6Tm3Th
_chemical_formula_sum 'Y24 Tm12 Th4'
_space_group_name_H-M_alt 'C m c 21'
_space_group_IT_number 36
_space_group_name_Hall 'C 2c -2'
_cell_length_a 11.048
_cell_length_b 18.786
_cell_length_c 6.264
_cell_angle_alpha 90.00
_cell_angle_beta 90.00
_cell_angle_gamma 90.00
loop_
_atom_site_label
_atom_site_type_symbol
_atom_site_fract_x
_atom_site_fract_y
_atom_site_fract_z
_atom_site_occupancy
Y1 Y 0.000 0.047 0.000 1
Y2 Y 0.000 0.272 0.754 1
Y3 Y 0.163 0.456 0.642 1
Y4 Y 0.245 0.291 0.469 1
Tm1 Tm 0.000 0.387 0.172 1
Tm2 Tm 0.173 0.110 0.557 1
Th1 Th 0.000 0.205 0.253 1
```

<b>
A plane-wave DFT calculation with PBE was carried out for a geometry-optimized Y6Tm3Th structure.

```
data_Y6Tm3Th
_chemical_formula_sum 'Y18 Tm9 Th3'
_space_group_name_H-M_alt 'R 3 2'
_space_group_IT_number 155
_space_group_name_Hall 'R 3 2"'
_cell_length_a 9.7934
_cell_length_b 9.7934
_cell_length_c 11.8313
_cell_angle_alpha 90.00
_cell_angle_beta 90.00
_cell_angle_gamma 120.00
loop_
_atom_site_label
_atom_site_type_symbol
_atom_site_fract_x
_atom_site_fract_y
_atom_site_fract_z
_atom_site_occupancy
Y1 Y 0.0000 0.3338 0.0000 1
Y2 Y 0.0000 0.6643 0.5000 1
Tm1 Tm 0.0000 0.0000 0.2578 1
Tm2 Tm 0.0000 0.0000 0.5000 1
Th1 Th 0.0000 0.0000 0.0000 1
```

It is <a> that is most stable; the runner-up trails by 10.0 kJ/mol of atoms.

<a>
A plane-wave DFT calculation with PBE was carried out for a geometry-optimized Y4Tm6Th structure.

```
data_Y4Tm6Th
_chemical_formula_sum 'Y8 Tm12 Th2'
_space_group_name_H-M_alt 'P 4/m n c'
_space_group_IT_number 128
_space_group_name_Hall '-P 4 2n'
_cell_length_a 8.645
_cell_length_b 8.645
_cell_length_c 9.325
_cell_angle_alpha 90.00
_cell_angle_beta 90.00
_cell_angle_gamma 90.00
loop_
_atom_site_label
_atom_site_type_symbol
_atom_site_fract_x
_atom_site_fract_y
_atom_site_fract_z
_atom_site_occupancy
Y1 Y 0.149 0.351 0.250 1
Tm1 Tm 0.000 0.000 0.163 1
Tm2 Tm 0.138 0.655 0.000 1
Th1 Th 0.000 0.000 0.500 1
```

<b>
A plane-wave DFT calculation with PBE was carried out for a geometry-optimized Y4Tm6Th structure.

```
data_Y4Tm6Th
_chemical_formula_sum 'Y8 Tm12 Th2'
_space_group_name_H-M_alt 'I -4 2 m'
_space_group_IT_number 121
_space_group_name_Hall 'I -4 2'
_cell_length_a 7.567
_cell_length_b 7.567
_cell_length_c 13.074
_cell_angle_alpha 90.00
_cell_angle_beta 90.00
_cell_angle_gamma 90.00
loop_
_atom_site_label
_atom_site_type_symbol
_atom_site_fract_x
_atom_site_fract_y
_atom_site_fract_z
_atom_site_occupancy
Y1 Y 0.174 0.174 0.422 1
Tm1 Tm 0.000 0.500 0.000 1
Tm2 Tm 0.240 0.240 0.178 1
Th1 Th 0.000 0.000 0.000 1
```

It is <a> that is most stable; the runner-up trails by 32.4 kJ/mol of atoms.

<a>
A plane-wave DFT calculation with PBE was carried out for a geometry-optimized Y3Tm2Th structure.

```
data_Y3Tm2Th
_chemical_formula_sum 'Y12 Tm8 Th4'
_space_group_name_H-M_alt 'C 1 2/m 1'
_space_group_IT_number 12
_space_group_name_Hall '-C 2y'
_cell_length_a 18.094
_cell_length_b 5.033
_cell_length_c 10.028
_cell_angle_alpha 90.00
_cell_angle_beta 123.61
_cell_angle_gamma 90.00
loop_
_atom_site_label
_atom_site_type_symbol
_atom_site_fract_x
_atom_site_fract_y
_atom_site_fract_z
_atom_site_occupancy
Y1 Y 0.083 0.000 0.208 1
Y2 Y 0.083 0.500 0.459 1
Y3 Y 0.250 0.000 0.125 1
Tm1 Tm 0.083 0.500 0.957 1
Tm2 Tm 0.248 0.000 0.624 1
Th1 Th 0.081 0.000 0.706 1
```

<b>
A plane-wave DFT calculation with PBE was carried out for a geometry-optimized Y3Tm2Th structure.

```
data_Y3Tm2Th
_chemical_formula_sum 'Y12 Tm8 Th4'
_space_group_name_H-M_alt 'C 1 2/c 1'
_space_group_IT_number 15
_space_group_name_Hall '-C 2yc'
_cell_length_a 8.904
_cell_length_b 9.865
_cell_length_c 8.900
_cell_angle_alpha 90.00
_cell_angle_beta 102.76
_cell_angle_gamma 90.00
loop_
_atom_site_label
_atom_site_type_symbol
_atom_site_fract_x
_atom_site_fract_y
_atom_site_fract_z
_atom_site_occupancy
Y1 Y 0.000 0.063 0.250 1
Y2 Y 0.229 0.417 0.984 1
Tm1 Tm 0.126 0.249 0.620 1
Th1 Th 0.000 0.385 0.250 1
```

It is <a> that is most stable; the runner-up trails by 5.1 kJ/mol of atoms.

<a>
A plane-wave DFT calculation with PBE was carried out for a geometry-optimized Y2TmTh2 structure.

```
data_Y2TmTh2
_chemical_formula_sum 'Y4 Tm2 Th4'
_space_group_name_H-M_alt 'I m m m'
_space_group_IT_number 71
_space_group_name_Hall '-I 2 2'
_cell_length_a 3.492
_cell_length_b 5.803
_cell_length_c 15.875
_cell_angle_alpha 90.00
_cell_angle_beta 90.00
_cell_angle_gamma 90.00
loop_
_atom_site_label
_atom_site_type_symbol
_atom_site_fract_x
_atom_site_fract_y
_atom_site_fract_z
_atom_site_occupancy
Y1 Y 0.000 0.000 0.101 1
Tm1 Tm 0.000 0.000 0.500 1
Th1 Th 0.000 0.500 0.211 1
```

<b>
A plane-wave DFT calculation with PBE was carried out for a geometry-optimized Y2TmTh2 structure.

```
data_Y2TmTh2
_chemical_formula_sum 'Y8 Tm4 Th8'
_space_group_name_H-M_alt 'C 1 2/c 1'
_space_group_IT_number 15
_space_group_name_Hall '-C 2yc'
_cell_length_a 8.635
_cell_length_b 9.436
_cell_length_c 8.688
_cell_angle_alpha 90.00
_cell_angle_beta 108.43
_cell_angle_gamma 90.00
loop_
_atom_site_label
_atom_site_type_symbol
_atom_site_fract_x
_atom_site_fract_y
_atom_site_fract_z
_atom_site_occupancy
Y1 Y 0.156 0.095 0.131 1
Tm1 Tm 0.000 0.206 0.750 1
Th1 Th 0.000 0.500 0.000 1
Th2 Th 0.250 0.250 0.500 1
```

It is <a> that is most stable; the runner-up trails by 22.1 kJ/mol of atoms.

<a>
A plane-wave DFT calculation with PBE was carried out for a geometry-optimized YTm6Th structure.

```
data_YTm6Th
_chemical_formula_sum 'Y1 Tm6 Th1'
_space_group_name_H-M_alt 'P -1'
_space_group_IT_number 2
_space_group_name_Hall '-P 1'
_cell_length_a 6.526
_cell_length_b 6.637
_cell_length_c 6.662
_cell_angle_alpha 60.20
_cell_angle_beta 88.23
_cell_angle_gamma 88.02
loop_
_atom_site_label
_atom_site_type_symbol
_atom_site_fract_x
_atom_site_fract_y
_atom_site_fract_z
_atom_site_occupancy
Y1 Y 0.000 0.000 0.000 1
Tm1 Tm 0.249 0.569 0.508 1
Tm2 Tm 0.251 0.075 0.495 1
Tm3 Tm 0.252 0.543 0.003 1
Th1 Th 0.500 0.000 0.000 1
```

<b>
A plane-wave DFT calculation with PBE was carried out for a geometry-optimized YTm6Th structure.

```
data_YTm6Th
_chemical_formula_sum 'Y1 Tm6 Th1'
_space_group_name_H-M_alt 'P 4/m m m'
_space_group_IT_number 123
_space_group_name_Hall '-P 4 2'
_cell_length_a 4.981
_cell_length_b 4.981
_cell_length_c 9.893
_cell_angle_alpha 90.00
_cell_angle_beta 90.00
_cell_angle_gamma 90.00
loop_
_atom_site_label
_atom_site_type_symbol
_atom_site_fract_x
_atom_site_fract_y
_atom_site_fract_z
_atom_site_occupancy
Y1 Y 0.000 0.000 0.000 1
Tm1 Tm 0.000 0.500 0.252 1
Tm2 Tm 0.500 0.500 0.000 1
Tm3 Tm 0.500 0.500 0.500 1
Th1 Th 0.000 0.000 0.500 1
```

It is <b> that is most stable; the runner-up trails by 19.0 kJ/mol of atoms.

<a>
A plane-wave DFT calculation with PBE was carried out for a geometry-optimized Y2Tm3Th3 structure.

```
data_Y2Tm3Th3
_chemical_formula_sum 'Y2 Tm3 Th3'
_space_group_name_H-M_alt 'P -6 2 m'
_space_group_IT_number 189
_space_group_name_Hall 'P -6 -2'
_cell_length_a 9.0428
_cell_length_b 9.0428
_cell_length_c 3.5920
_cell_angle_alpha 90.00
_cell_angle_beta 90.00
_cell_angle_gamma 120.00
loop_
_atom_site_label
_atom_site_type_symbol
_atom_site_fract_x
_atom_site_fract_y
_atom_site_fract_z
_atom_site_occupancy
Y1 Y 0.3333 0.6667 0.0000 1
Tm1 Tm 0.0000 0.6062 0.5000 1
Th1 Th 0.0000 0.2284 0.0000 1
```

<b>
A plane-wave DFT calculation with PBE was carried out for a geometry-optimized Y2Tm3Th3 structure.

```
data_Y2Tm3Th3
_chemical_formula_sum 'Y4 Tm6 Th6'
_space_group_name_H-M_alt 'I m m m'
_space_group_IT_number 71
_space_group_name_Hall '-I 2 2'
_cell_length_a 4.995
_cell_length_b 5.001
_cell_length_c 20.214
_cell_angle_alpha 90.00
_cell_angle_beta 90.00
_cell_angle_gamma 90.00
loop_
_atom_site_label
_atom_site_type_symbol
_atom_site_fract_x
_atom_site_fract_y
_atom_site_fract_z
_atom_site_occupancy
Y1 Y 0.000 0.000 0.250 1
Tm1 Tm 0.000 0.000 0.000 1
Tm2 Tm 0.000 0.500 0.376 1
Th1 Th 0.000 0.000 0.500 1
Th2 Th 0.000 0.500 0.123 1
```

It is <b> that is most stable; the runner-up trails by 10.6 kJ/mol of atoms.